PBE TiOsBr2, relaxed; density of states at the Fermi level = 4.61 states/eV per cell; offset from the most stable computed form = 474 meV/atom; VASP energy = -4.788 eV per atom
1.0
0.000 3.239 3.239
3.239 0.000 3.239
3.239 3.239 0.000
Os Br Ti
1 2 1
Direct
0.500 0.500 0.500
0.250 0.250 0.250
0.750 0.750 0.750
0.000 0.000 0.000

=====

PBE TiOsBr2, relaxed; density of states at the Fermi level = 12.66 states/eV per cell; offset from the most stable computed form = 592 meV/atom; VASP energy = -4.670 eV per atom
1.0
-3.382 3.589 3.005
1.086 -3.004 4.811
3.229 3.544 4.950
Os Br Ti
2 4 2
Direct
0.000 0.000 0.000
0.750 0.250 0.500
0.632 0.125 0.250
0.118 0.625 0.250
0.375 0.368 0.750
0.875 0.882 0.750
0.500 0.500 0.000
0.250 0.750 0.500

=====

PBE Ti2OsBr, relaxed; density of states at the Fermi level = 4.69 states/eV per cell; offset from the most stable computed form = 0 meV/atom; VASP energy = -6.933 eV per atom
1.0
1.189 -1.920 3.933
1.350 2.589 3.471
-2.656 0.469 3.647
Os Br Ti
1 1 2
Direct
0.500 0.500 0.500
0.000 0.000 0.000
0.250 0.250 0.250
0.750 0.750 0.750

=====

PBE TiOs3Br, relaxed; density of states at the Fermi level = 6.93 states/eV per cell; offset from the most stable computed form = 0 meV/atom; VASP energy = -6.578 eV per atom
1.0
4.528 0.000 0.000
0.000 4.528 0.000
0.000 0.000 4.528
Os Br Ti
3 1 1
Direct
0.000 0.500 0.000
0.000 0.000 0.500
0.500 0.000 0.000
0.000 0.000 0.000
0.500 0.500 0.500

=====

PBE TiOsBr2, relaxed; density of states at the Fermi level = 3.41 states/eV per cell; offset from the most stable computed form = 0 meV/atom; VASP energy = -5.262 eV per atom
1.0
1.829 0.000 8.483
-0.915 1.584 8.483
-0.915 -1.584 8.483
Os Br Ti
1 2 1
Direct
0.000 0.000 0.000
0.905 0.905 0.905
0.095 0.095 0.095
0.500 0.500 0.500

=====

PBE Ti3OsBr, relaxed; density of states at the Fermi level = 5.42 states/eV per cell; offset from the most stable computed form = 0 meV/atom; VASP energy = -6.881 eV per atom
1.0
4.827 0.000 0.000
0.000 4.827 0.000
0.000 0.000 4.827
Os Br Ti
1 1 3
Direct
0.000 0.000 0.000
0.500 0.500 0.500
0.000 0.500 0.000
0.000 0.000 0.500
0.500 0.000 0.000

=====

PBE Ti2OsBr2, relaxed; density of states at the Fermi level = 10.31 states/eV per cell; offset from the most stable computed form = 0 meV/atom; VASP energy = -5.751 eV per atom
1.0
6.789 0.000 0.000
0.000 6.789 0.000
0.000 0.000 4.657
Os Br Ti
2 4 4
Direct
0.000 0.000 0.000
0.500 0.500 0.000
0.174 0.674 0.500
0.674 0.826 0.500
0.826 0.326 0.500
0.326 0.174 0.500
0.303 0.803 0.000
0.803 0.697 0.000
0.697 0.197 0.000
0.197 0.303 0.000

=====

PBE Ti3OsBr, relaxed; density of states at the Fermi level = 6.30 states/eV per cell; offset from the most stable computed form = 368 meV/atom; VASP energy = -6.513 eV per atom
1.0
-4.459 -0.072 0.784
0.096 -4.525 0.129
0.782 0.144 4.457
Os Br Ti
1 1 3
Direct
0.500 0.500 0.500
0.000 0.000 0.000
0.000 0.500 0.000
0.000 0.000 0.500
0.500 0.000 0.000

=====

PBE TiOs3Br, relaxed; density of states at the Fermi level = 6.92 states/eV per cell; offset from the most stable computed form = 170 meV/atom; VASP energy = -6.409 eV per atom
1.0
-1.803 4.306 -0.340
-0.465 -0.560 -4.624
-4.295 -1.747 0.643
Os Br Ti
3 1 1
Direct
0.000 0.500 0.000
0.000 0.000 0.500
0.500 0.000 0.000
0.500 0.500 0.500
0.000 0.000 0.000

=====

PBE Ti2OsBr2, relaxed; density of states at the Fermi level = 3.34 states/eV per cell; offset from the most stable computed form = 253 meV/atom; VASP energy = -5.498 eV per atom
1.0
-0.640 -3.122 -2.431
-2.169 -1.784 2.861
-6.449 0.248 -1.926
Os Br Ti
1 2 2
Direct
0.000 0.000 0.000
0.750 0.250 0.500
0.250 0.750 0.500
0.395 0.395 0.209
0.605 0.605 0.791

=====

PBE Ti2OsBr, relaxed; density of states at the Fermi level = 4.88 states/eV per cell; offset from the most stable computed form = 62 meV/atom; VASP energy = -6.871 eV per atom
1.0
-1.323 -6.414 1.559
1.574 1.237 6.427
-3.114 -1.766 4.628
Os Br Ti
2 2 4
Direct
0.000 0.000 0.000
0.750 0.250 0.500
0.500 0.500 0.000
0.250 0.750 0.500
0.640 0.125 0.250
0.110 0.625 0.250
0.375 0.360 0.750
0.875 0.890 0.750

=====

PBE TlOs3Br, relaxed; density of states at the Fermi level = 6.55 states/eV per cell; offset from the most stable computed form = 850 meV/atom; VASP energy = -4.278 eV per atom
1.0
5.102 0.000 0.000
0.000 5.102 0.000
0.000 0.000 5.102
Tl Os Br
1 3 1
Direct
0.000 0.000 0.000
0.000 0.500 0.000
0.000 0.000 0.500
0.500 0.000 0.000
0.500 0.500 0.500

=====

PBE TlOs3Br, relaxed; density of states at the Fermi level = 7.18 states/eV per cell; offset from the most stable computed form = 0 meV/atom; VASP energy = -5.128 eV per atom
1.0
-1.283 -2.716 3.515
0.725 -3.738 -2.624
4.383 -0.177 1.463
Tl Os Br
1 3 1
Direct
0.500 0.500 0.500
0.000 0.500 0.000
0.000 0.000 0.500
0.500 0.000 0.000
0.000 0.000 0.000

=====

PBE TlOsBr6, relaxed; density of states at the Fermi level = 1.00 states/eV per cell; VASP energy = -3.277 eV per atom
1.0
-5.980 -3.640 -0.855
-1.140 -1.095 6.873
-6.302 9.398 0.852
Tl Os Br
2 2 12
Direct
0.025 0.975 0.250
0.975 0.025 0.750
0.000 0.500 0.500
0.500 0.000 0.000
0.282 0.659 0.430
0.718 0.341 0.570
0.341 0.718 0.070
0.659 0.282 0.930
0.911 0.468 0.292
0.089 0.532 0.708
0.532 0.089 0.208
0.468 0.911 0.792
0.185 0.196 0.995
0.815 0.804 0.005
0.804 0.815 0.505
0.196 0.185 0.495

=====

PBE Tl3OsBr, relaxed; density of states at the Fermi level = 9.56 states/eV per cell; offset from the most stable computed form = 1187 meV/atom; VASP energy = -2.673 eV per atom
1.0
5.949 0.000 0.000
0.000 5.949 0.000
0.000 0.000 5.949
Tl Os Br
3 1 1
Direct
0.000 0.500 0.000
0.000 0.000 0.500
0.500 0.000 0.000
0.500 0.500 0.500
0.000 0.000 0.000

=====

PBE Tl3OsBr, relaxed; density of states at the Fermi level = 1.74 states/eV per cell; offset from the most stable computed form = 0 meV/atom; VASP energy = -3.859 eV per atom
1.0
-5.177 -0.465 1.193
1.201 -0.037 5.196
-0.445 5.313 0.141
Tl Os Br
3 1 1
Direct
0.000 0.500 0.000
0.000 0.000 0.500
0.500 0.000 0.000
0.000 0.000 0.000
0.500 0.500 0.500

=====

PBE Tl5Os2Br12, relaxed; density of states at the Fermi level = 8.84 states/eV per cell; VASP energy = -3.354 eV per atom
1.0
-5.475 5.697 2.607
-3.057 -8.202 -4.165
0.934 -2.014 11.481
Tl Os Br
5 2 12
Direct
0.296 0.602 0.602
0.324 0.623 0.208
0.000 0.000 0.500
0.676 0.377 0.792
0.704 0.398 0.398
0.651 0.037 0.012
0.349 0.963 0.988
0.207 0.915 0.181
0.194 0.660 0.909
0.654 0.772 0.944
0.119 0.711 0.437
0.599 0.677 0.393
0.330 0.974 0.784
0.670 0.026 0.216
0.881 0.289 0.563
0.401 0.323 0.607
0.806 0.340 0.091
0.346 0.228 0.056
0.793 0.085 0.819

=====

PBE TlOsBr4, relaxed; density of states at the Fermi level = 11.75 states/eV per cell; VASP energy = -2.144 eV per atom
1.0
-1.822 -4.406 -4.330
-4.287 1.539 -4.552
1.876 0.548 -6.136
Tl Os Br
1 1 4
Direct
0.000 0.000 0.000
0.750 0.750 0.750
0.874 0.375 0.375
0.375 0.375 0.874
0.375 0.874 0.375
0.375 0.375 0.375

=====

PBE Tl3OsBr8, relaxed; density of states at the Fermi level = 3.29 states/eV per cell; VASP energy = -3.117 eV per atom
1.0
-5.479 2.948 8.084
0.153 -9.025 3.395
6.967 6.197 2.462
Tl Os Br
6 2 16
Direct
0.666 0.703 0.851
0.666 0.149 0.297
0.666 0.149 0.851
0.166 0.297 0.149
0.166 0.851 0.703
0.166 0.851 0.149
0.160 0.333 0.667
0.660 0.667 0.333
0.024 0.090 0.545
0.024 0.455 0.910
0.024 0.455 0.545
0.524 0.910 0.455
0.524 0.545 0.090
0.524 0.545 0.455
0.804 0.422 0.211
0.804 0.789 0.578
0.804 0.789 0.211
0.304 0.578 0.789
0.304 0.211 0.422
0.304 0.211 0.789
0.700 0.333 0.667
0.200 0.667 0.333
0.932 0.000 0.000
0.432 0.000 0.000

=====

PBE TlOsBr5, relaxed; density of states at the Fermi level = 9.40 states/eV per cell; VASP energy = -3.411 eV per atom
1.0
7.824 -0.937 -2.678
-3.840 7.380 0.252
-2.190 0.334 10.330
Tl Os Br
2 2 10
Direct
0.801 0.551 0.250
0.199 0.449 0.750
0.000 0.000 0.000
0.500 0.000 0.500
0.774 0.918 0.116
0.178 0.912 0.522
0.698 0.342 0.616
0.362 0.112 0.250
0.889 0.656 0.978
0.111 0.344 0.022
0.638 0.888 0.750
0.302 0.658 0.384
0.822 0.088 0.478
0.226 0.082 0.884

=====

PBE Tl2OsBr7, relaxed; density of states at the Fermi level = 17.74 states/eV per cell; VASP energy = -3.044 eV per atom
1.0
6.963 0.000 3.396
3.157 10.152 2.363
-0.314 -1.250 9.481
Tl Os Br
4 2 14
Direct
0.603 0.962 0.688
0.747 0.462 0.188
0.253 0.538 0.812
0.397 0.038 0.312
0.989 0.250 0.750
0.011 0.750 0.250
0.823 0.493 0.835
0.849 0.993 0.335
0.218 0.813 0.985
0.339 0.267 0.575
0.656 0.250 0.750
0.984 0.313 0.485
0.181 0.233 0.925
0.819 0.767 0.075
0.016 0.687 0.515
0.344 0.750 0.250
0.661 0.733 0.425
0.782 0.187 0.015
0.151 0.007 0.665
0.177 0.507 0.165

=====

PBE Tl2OsBr6, relaxed; density of states at the Fermi level = 10.91 states/eV per cell; offset from the most stable computed form = 9 meV/atom; VASP energy = -3.335 eV per atom
1.0
-2.160 5.400 -4.966
4.089 -4.509 -6.681
-8.968 -5.349 -1.878
Tl Os Br
4 2 12
Direct
0.999 0.499 0.768
0.501 0.999 0.732
0.499 0.001 0.268
0.001 0.501 0.232
0.500 0.500 0.000
0.000 0.000 0.500
0.871 0.839 0.332
0.871 0.837 0.666
0.775 0.655 0.000
0.725 0.155 0.500
0.629 0.337 0.834
0.629 0.339 0.168
0.129 0.161 0.668
0.129 0.163 0.334
0.225 0.345 0.000
0.275 0.845 0.500
0.371 0.663 0.166
0.371 0.661 0.832

=====

PBE Tl2OsBr6, relaxed; density of states at the Fermi level = 5.15 states/eV per cell; offset from the most stable computed form = 0 meV/atom; VASP energy = -3.343 eV per atom
1.0
6.593 0.013 0.008
0.091 7.349 0.004
0.091 3.665 6.370
Tl Os Br
2 1 6
Direct
0.841 0.669 0.669
0.159 0.331 0.331
0.000 0.000 0.000
0.218 0.319 0.838
0.220 0.838 0.838
0.218 0.838 0.319
0.782 0.681 0.162
0.780 0.162 0.162
0.782 0.162 0.681

=====

Number 1: formation energy from raw total energies 0.8299 eV per atom. Number 2: formation energy from raw total energies 0.9477 eV per atom. Number 3: formation energy from raw total energies 0.2400 eV per atom. Number 4: formation energy from raw total energies 2.0733 eV per atom. Number 5: formation energy from raw total energies 0.3558 eV per atom. Number 6: formation energy from raw total energies 0.4369 eV per atom. Number 7: formation energy from raw total energies 0.3221 eV per atom. Number 8: formation energy from raw total energies 0.8049 eV per atom. Number 9: formation energy from raw total energies 2.2428 eV per atom. Number 10: formation energy from raw total energies 0.5752 eV per atom. Number 11: formation energy from raw total energies 0.3021 eV per atom. Number 12: formation energy from raw total energies 3.2681 eV per atom. Number 13: formation energy from raw total energies 2.4178 eV per atom. Number 14: formation energy from raw total energies -0.3229 eV per atom. Number 15: formation energy from raw total energies 1.3277 eV per atom. Number 16: formation energy from raw total energies 0.1411 eV per atom. Number 17: formation energy from raw total energies -0.4929 eV per atom. Number 18: formation energy from raw total energies 1.2374 eV per atom. Number 19: formation energy from raw total energies -0.4746 eV per atom. Number 20: formation energy from raw total energies -0.2735 eV per atom. Number 21: formation energy from raw total energies -0.2770 eV per atom. Number 22: formation energy from raw total energies -0.4458 eV per atom. Number 23: formation energy from raw total energies -0.4544 eV per atom.